Record 1
# In3AuN | Alexandria | PBE | relaxed
data_In3AuN
_cell_length_a 5.247
_cell_length_b 5.247
_cell_length_c 5.247
_cell_angle_alpha 90.00
_cell_angle_beta 90.00
_cell_angle_gamma 90.00
_symmetry_space_group_name_H-M 'P 1'
_symmetry_Int_Tables_number 1
_symmetry_space_group_name_Hall 'P 1'
loop_
_atom_site_label
_atom_site_fract_x
_atom_site_fract_y
_atom_site_fract_z
_atom_site_occupancy
N1 0.500 0.500 0.500 1
Au1 0.000 0.000 0.000 1
In1 0.000 0.500 0.000 1
In2 0.000 0.000 0.500 1
In3 0.500 0.000 0.000 1
# symmetry	No. 221
# calculated density	6.38	g cm⁻³
# formation energy from raw total energies	5.64	eV/f.u.

---

Record 2
# InAuN2 | Alexandria | PBE | relaxed
data_InAuN2
_cell_length_a 6.546
_cell_length_b 6.546
_cell_length_c 6.546
_cell_angle_alpha 29.91
_cell_angle_beta 29.91
_cell_angle_gamma 29.91
_symmetry_space_group_name_H-M 'P 1'
_symmetry_Int_Tables_number 1
_symmetry_space_group_name_Hall 'P 1'
loop_
_atom_site_label
_atom_site_fract_x
_atom_site_fract_y
_atom_site_fract_z
_atom_site_occupancy
N1 0.896 0.896 0.896 1
N2 0.104 0.104 0.104 1
Au1 0.000 0.000 0.000 1
In1 0.500 0.500 0.500 1
# symmetry	No. 166
# calculated density	9.14	g cm⁻³
# formation energy from raw total energies	3.47	eV/f.u.

---

Record 3
# InAuN3 | Alexandria | PBE | relaxed
data_InAuN3
_cell_length_a 4.116
_cell_length_b 4.116
_cell_length_c 4.116
_cell_angle_alpha 90.00
_cell_angle_beta 90.00
_cell_angle_gamma 90.00
_symmetry_space_group_name_H-M 'P 1'
_symmetry_Int_Tables_number 1
_symmetry_space_group_name_Hall 'P 1'
loop_
_atom_site_label
_atom_site_fract_x
_atom_site_fract_y
_atom_site_fract_z
_atom_site_occupancy
N1 0.000 0.500 0.000 1
N2 0.000 0.000 0.500 1
N3 0.500 0.000 0.000 1
Au1 0.000 0.000 0.000 1
In1 0.500 0.500 0.500 1
# symmetry	No. 221
# calculated density	8.43	g cm⁻³
# formation energy from raw total energies	10.43	eV/f.u.

---

Record 4
# InAuN2 | Alexandria | PBE | relaxed
data_InAuN2
_cell_length_a 7.341
_cell_length_b 4.665
_cell_length_c 10.629
_cell_angle_alpha 77.12
_cell_angle_beta 81.84
_cell_angle_gamma 50.63
_symmetry_space_group_name_H-M 'P 1'
_symmetry_Int_Tables_number 1
_symmetry_space_group_name_Hall 'P 1'
loop_
_atom_site_label
_atom_site_fract_x
_atom_site_fract_y
_atom_site_fract_z
_atom_site_occupancy
In1 0.250 0.714 0.571 1
In2 0.750 0.286 0.429 1
Au1 0.000 0.500 0.500 1
Au2 0.500 0.000 0.500 1
N1 0.772 0.902 0.920 1
N2 0.228 0.098 0.080 1
N3 0.729 0.178 0.920 1
N4 0.271 0.822 0.080 1
# symmetry	No. 2
# calculated density	4.11	g cm⁻³
# formation energy from raw total energies	0.29	eV/f.u.

---

Record 5
# In3AuN | Alexandria | PBE | relaxed
data_In3AuN
_cell_length_a 4.725
_cell_length_b 4.725
_cell_length_c 4.725
_cell_angle_alpha 90.00
_cell_angle_beta 90.00
_cell_angle_gamma 90.00
_symmetry_space_group_name_H-M 'P 1'
_symmetry_Int_Tables_number 1
_symmetry_space_group_name_Hall 'P 1'
loop_
_atom_site_label
_atom_site_fract_x
_atom_site_fract_y
_atom_site_fract_z
_atom_site_occupancy
N1 0.000 0.000 0.000 1
Au1 0.500 0.500 0.500 1
In1 0.000 0.500 0.000 1
In2 0.000 0.000 0.500 1
In3 0.500 0.000 0.000 1
# symmetry	No. 221
# calculated density	8.74	g cm⁻³
# formation energy from raw total energies	2.11	eV/f.u.

---

Record 6
# InAuN2 | Alexandria | PBE | relaxed
data_InAuN2
_cell_length_a 4.991
_cell_length_b 4.991
_cell_length_c 6.233
_cell_angle_alpha 66.40
_cell_angle_beta 66.40
_cell_angle_gamma 90.00
_symmetry_space_group_name_H-M 'P 1'
_symmetry_Int_Tables_number 1
_symmetry_space_group_name_Hall 'P 1'
loop_
_atom_site_label
_atom_site_fract_x
_atom_site_fract_y
_atom_site_fract_z
_atom_site_occupancy
N1 0.630 0.125 0.250 1
N2 0.120 0.625 0.250 1
N3 0.375 0.370 0.750 1
N4 0.875 0.880 0.750 1
Au1 0.000 0.000 0.000 1
Au2 0.750 0.250 0.500 1
In1 0.500 0.500 0.000 1
In2 0.250 0.750 0.500 1
# symmetry	No. 122
# calculated density	8.82	g cm⁻³
# formation energy from raw total energies	4.00	eV/f.u.